1.
A plane-wave DFT calculation with PBE was carried out for a relaxed structure of SrMnOs2.

abc: 5.409 5.409 2.628
angles: 90.00 90.00 113.45
Site moments in Bohr magnetons follow the coordinates.
Fractional coordinates of all 4 atoms:
Os 0.000 0.000 0.000  -0.09
Os 0.500 0.500 0.000  -0.09
Mn 0.000 0.500 0.500  3.40
Sr 0.500 0.000 0.500  0.00

## Properties
Formation energy from the elements in eV/atom: 1.021
Volume in Å³ per cell: 71
Theoretical density in g cm⁻³: 12.3
Energy above the lowest structure with this stoichiometry in eV/atom: 0.7424
Final energy in eV per cell: -29.23
Total moment in Bohr magnetons per cell: 3.4

2.
A plane-wave DFT calculation with PBE was carried out for a relaxed structure of GaHRh3.

abc: 4.532 4.532 4.532
angles: 111.48 111.48 111.48
Fractional coordinates of all 5 atoms:
Rh 0.596 0.203 0.596
H 0.498 0.498 0.498
Rh 0.203 0.596 0.596
Ga 0.982 0.982 0.982
Rh 0.596 0.596 0.203

## Properties
Volume in Å³ per cell: 66
Theoretical density in g cm⁻³: 9.6
Energy above the lowest structure with this stoichiometry in eV/atom: 0.4295
Final energy in eV per cell: -27.75
Total moment in Bohr magnetons per cell: 0.0

3.
A plane-wave DFT calculation with PBE was carried out for a relaxed structure of RbPuCuBr5.

abc: 7.917 7.917 10.744
angles: 103.91 103.91 106.06
Site moments in Bohr magnetons follow the coordinates.
Fractional coordinates of all 16 atoms:
Br 0.315 0.902 0.614  -0.03
Br 0.918 0.082 0.750  -0.04
Br 0.764 0.616 0.424  -0.03
Rb 0.353 0.647 0.250  0.00
Rb 0.647 0.353 0.750  0.00
Br 0.616 0.764 0.924  -0.03
Pu 0.000 0.000 0.000  5.16
Br 0.902 0.315 0.114  -0.03
Br 0.082 0.918 0.250  -0.04
Br 0.384 0.236 0.076  -0.03
Br 0.098 0.685 0.886  -0.03
Cu 0.309 0.691 0.750  -0.08
Br 0.685 0.098 0.386  -0.03
Br 0.236 0.384 0.576  -0.03
Pu 0.000 0.000 0.500  5.16
Cu 0.691 0.309 0.250  -0.08

## Properties
Volume in Å³ per cell: 593
Theoretical density in g cm⁻³: 4.4
Final energy in eV per cell: -75.73
Total moment in Bohr magnetons per cell: 10.0

4.
A plane-wave DFT calculation with PBE was carried out for a relaxed structure of Li2MnCr.

abc: 9.519 9.519 9.519
angles: 14.90 14.90 14.90
Site moments in Bohr magnetons follow the coordinates.
Fractional coordinates of all 4 atoms:
Cr 0.750 0.750 0.750  0.39
Mn 0.250 0.250 0.250  1.56
Li 0.501 0.501 0.501  -0.03
Li 0.999 0.999 0.999  -0.03

## Properties
Formation energy from the elements in eV/atom: 0.473
Volume in Å³ per cell: 50
Theoretical density in g cm⁻³: 4.0
Energy above the lowest structure with this stoichiometry in eV/atom: 0.2010
Final energy in eV per cell: -20.73
Total moment in Bohr magnetons per cell: 2.0

5.
A plane-wave DFT calculation with PBE was carried out for a relaxed structure of Sr2TlPd3Au12.

abc: 7.243 7.243 7.243
angles: 83.07 83.07 83.07
Fractional coordinates of all 18 atoms:
Au 0.292 0.798 0.798
Pd 0.000 0.000 0.500
Pd 0.500 0.000 0.000
Pd 0.000 0.500 0.000
Au 0.798 0.798 0.292
Au 0.583 0.135 0.583
Sr 0.265 0.265 0.265
Au 0.798 0.292 0.798
Au 0.417 0.417 0.865
Au 0.708 0.202 0.202
Tl 0.000 0.000 0.000
Sr 0.735 0.735 0.735
Au 0.135 0.583 0.583
Au 0.202 0.202 0.708
Au 0.202 0.708 0.202
Au 0.865 0.417 0.417
Au 0.583 0.583 0.135
Au 0.417 0.865 0.417

## Properties
Formation energy from the elements in eV/atom: -0.181
Volume in Å³ per cell: 372
Theoretical density in g cm⁻³: 13.7
Final energy in eV per cell: -63.89
Total moment in Bohr magnetons per cell: 0.0

6.
A plane-wave DFT calculation with PBE was carried out for a relaxed structure of Pm2CdAuO5.

abc: 5.882 6.859 6.859
angles: 90.00 90.00 90.00
Fractional coordinates of all 18 atoms:
Cd 0.000 0.500 0.500
O 0.263 0.367 0.133
O 0.263 0.867 0.367
Pm 0.500 0.677 0.177
Pm 0.500 0.177 0.323
O 0.737 0.133 0.633
Cd 0.000 0.000 0.000
Au 0.000 0.500 0.000
Pm 0.500 0.323 0.823
Au 0.000 0.000 0.500
O 0.500 0.000 0.000
Pm 0.500 0.823 0.677
O 0.263 0.633 0.867
O 0.500 0.500 0.500
O 0.737 0.633 0.867
O 0.263 0.133 0.633
O 0.737 0.367 0.133
O 0.737 0.867 0.367

## Properties
Volume in Å³ per cell: 277
Theoretical density in g cm⁻³: 8.2
Final energy in eV per cell: -110.58
Total moment in Bohr magnetons per cell: 0.0

7.
A plane-wave DFT calculation with PBE was carried out for a relaxed structure of Ce6TcIr2I3.

abc: 7.166 7.166 8.325
angles: 98.24 98.24 120.00
Site moments in Bohr magnetons follow the coordinates.
Fractional coordinates of all 12 atoms:
Ce 0.390 0.062 0.185  0.64
I 0.834 0.166 0.500  -0.01
I 0.500 0.500 0.500  -0.01
Ce 0.733 0.733 0.185  0.63
Ce 0.610 0.938 0.815  0.64
Ce 0.267 0.267 0.815  0.63
Ir 0.333 0.667 0.000  -0.06
Ce 0.062 0.390 0.185  0.64
Ir 0.667 0.333 0.000  -0.06
Ce 0.938 0.610 0.815  0.64
I 0.166 0.834 0.500  -0.01
Tc 0.000 0.000 0.000  -0.17

## Properties
Volume in Å³ per cell: 355
Theoretical density in g cm⁻³: 8.0
Final energy in eV per cell: -77.56
Total moment in Bohr magnetons per cell: 4.1

8.
A plane-wave DFT calculation with PBE was carried out for a relaxed structure of HoTmRu.

abc: 6.696 6.696 8.205
angles: 114.08 114.07 90.03
Fractional coordinates of all 12 atoms:
Ru 0.288 0.214 0.000
Ho 0.413 0.838 0.751
Ru 0.036 0.461 0.500
Tm 0.413 0.338 0.751
Tm 0.662 0.587 0.249
Ho 0.162 0.587 0.249
Ho 0.912 0.837 0.749
Tm 0.912 0.337 0.749
Ru 0.539 0.964 0.500
Tm 0.663 0.088 0.251
Ru 0.786 0.711 0.000
Ho 0.163 0.088 0.251

## Properties
Formation energy from the elements in eV/atom: -0.327
Volume in Å³ per cell: 300
Theoretical density in g cm⁻³: 9.6
Energy above the lowest structure with this stoichiometry in eV/atom: 0.0614
Final energy in eV per cell: -77.22
Total moment in Bohr magnetons per cell: 0.0

9.
A plane-wave DFT calculation with PBE was carried out for a relaxed structure of Pr2Mg3.

abc: 3.448 3.448 14.251
angles: 83.05 83.05 60.00
Fractional coordinates of all 5 atoms:
Pr 0.703 0.703 0.890
Pr 0.297 0.297 0.110
Mg 0.894 0.894 0.317
Mg 0.500 0.500 0.500
Mg 0.106 0.106 0.683

## Properties
Formation energy from the elements in eV/atom: 0.060
Volume in Å³ per cell: 145
Theoretical density in g cm⁻³: 4.1
Energy above the lowest structure with this stoichiometry in eV/atom: 0.1463
Final energy in eV per cell: -14.04
Total moment in Bohr magnetons per cell: 0.0

10.
A plane-wave DFT calculation with PBE was carried out for a relaxed structure of RbSr2GeH.

abc: 6.050 6.050 6.924
angles: 90.00 90.00 90.00
Fractional coordinates of all 5 atoms:
H 0.500 0.500 0.500
Sr 0.000 0.500 0.000
Rb 0.000 0.000 0.500
Ge 0.000 0.000 0.000
Sr 0.500 0.000 0.000

## Properties
Volume in Å³ per cell: 253
Theoretical density in g cm⁻³: 2.2
Final energy in eV per cell: -11.41
Total moment in Bohr magnetons per cell: 0.0

11.
A plane-wave DFT calculation with PBE was carried out for a relaxed structure of Ir2C.

abc: 2.787 2.787 5.322
angles: 90.00 90.00 120.00
Fractional coordinates of all 3 atoms:
Ir 0.333 0.667 0.731
C 0.000 0.000 0.000
Ir 0.667 0.333 0.269

## Properties
Formation energy from the elements in eV/atom: 0.752
Volume in Å³ per cell: 36
Theoretical density in g cm⁻³: 18.4
Energy above the lowest structure with this stoichiometry in eV/atom: 0.1937
Final energy in eV per cell: -24.69
Total moment in Bohr magnetons per cell: 0.0

12.
A plane-wave DFT calculation with PBE was carried out for a relaxed structure of CaTlCd17.

abc: 7.771 7.771 7.771
angles: 82.66 82.66 82.66
Fractional coordinates of all 19 atoms:
Cd 0.160 0.641 0.641
Cd 0.006 0.006 0.495
Cd 0.006 0.495 0.006
Cd 0.495 0.006 0.006
Cd 0.701 0.301 0.001
Cd 0.001 0.701 0.301
Cd 0.301 0.001 0.701
Cd 0.842 0.358 0.358
Cd 0.641 0.641 0.160
Cd 0.701 0.001 0.301
Cd 0.358 0.842 0.358
Cd 0.641 0.160 0.641
Ca 0.335 0.335 0.335
Cd 0.895 0.895 0.895
Tl 0.656 0.656 0.656
Cd 0.001 0.301 0.701
Cd 0.101 0.101 0.101
Cd 0.358 0.358 0.842
Cd 0.301 0.701 0.001

## Properties
Formation energy from the elements in eV/atom: -0.049
Volume in Å³ per cell: 459
Theoretical density in g cm⁻³: 7.8
Final energy in eV per cell: -20.85
Total moment in Bohr magnetons per cell: 0.0

13.
A plane-wave DFT calculation with PBE was carried out for a relaxed structure of DyV2Co10.

abc: 6.322 6.322 6.322
angles: 136.83 97.92 97.64
Site moments in Bohr magnetons follow the coordinates.
Fractional coordinates of all 13 atoms:
Co 0.500 0.500 0.500  1.28
V 0.638 0.638 0.000  -0.42
V 0.362 0.362 0.000  -0.42
Co 0.641 0.000 0.641  1.63
Co 0.000 0.500 0.000  1.28
Co 0.782 0.500 0.282  1.30
Co 0.000 0.000 0.500  1.28
Co 0.218 0.500 0.718  1.30
Co 0.500 0.000 0.000  1.28
Co 0.359 0.000 0.359  1.63
Dy 0.000 0.000 0.000  -0.28
Co 0.222 0.722 0.500  1.19
Co 0.778 0.278 0.500  1.19

## Properties
Formation energy from the elements in eV/atom: -0.097
Volume in Å³ per cell: 161
Theoretical density in g cm⁻³: 8.8
Final energy in eV per cell: -95.16
Total moment in Bohr magnetons per cell: 11.9

14.
A plane-wave DFT calculation with PBE was carried out for a relaxed structure of Tb15Pr4Mg.

abc: 5.062 5.062 25.276
angles: 90.00 90.00 90.00
Fractional coordinates of all 20 atoms:
Mg 0.000 0.000 0.000
Pr 0.000 0.000 0.197
Tb 0.000 0.500 0.500
Tb 0.500 0.000 0.500
Tb 0.500 0.500 0.398
Tb 0.500 0.000 0.096
Tb 0.500 0.500 0.805
Tb 0.500 0.000 0.298
Tb 0.000 0.500 0.096
Tb 0.500 0.500 0.602
Pr 0.000 0.000 0.601
Tb 0.500 0.000 0.904
Tb 0.500 0.500 0.195
Pr 0.000 0.000 0.399
Tb 0.500 0.000 0.702
Tb 0.000 0.500 0.702
Pr 0.000 0.000 0.803
Tb 0.500 0.500 0.000
Tb 0.000 0.500 0.904
Tb 0.000 0.500 0.298

## Properties
Formation energy from the elements in eV/atom: 0.021
Volume in Å³ per cell: 648
Theoretical density in g cm⁻³: 7.6
Final energy in eV per cell: -89.75
Total moment in Bohr magnetons per cell: 0.0

15.
A plane-wave DFT calculation with PBE was carried out for a relaxed structure of YSc2Te.

abc: 3.766 5.264 5.084
angles: 90.00 90.00 90.00
Site moments in Bohr magnetons follow the coordinates.
Fractional coordinates of all 4 atoms:
Sc 0.500 0.500 0.000  0.24
Sc 0.000 0.000 0.000  0.13
Y 0.000 0.500 0.500  0.08
Te 0.500 0.000 0.500  0.00

## Properties
Volume in Å³ per cell: 101
Theoretical density in g cm⁻³: 5.0
Final energy in eV per cell: -23.81
Total moment in Bohr magnetons per cell: 0.7

16.
A plane-wave DFT calculation with PBE was carried out for a relaxed structure of TaTc2Mo.

abc: 3.153 4.528 4.413
angles: 90.00 90.00 90.00
Fractional coordinates of all 4 atoms:
Ta 0.000 0.500 0.500
Tc 0.000 0.000 0.000
Tc 0.500 0.500 0.000
Mo 0.500 0.000 0.500

## Properties
Formation energy from the elements in eV/atom: -0.095
Volume in Å³ per cell: 63
Theoretical density in g cm⁻³: 12.5
Energy above the lowest structure with this stoichiometry in eV/atom: 0.1046
Final energy in eV per cell: -43.79
Total moment in Bohr magnetons per cell: 0.0

17.
A plane-wave DFT calculation with PBE was carried out for a relaxed structure of TlPHS2.

abc: 4.973 4.973 3.323
angles: 90.00 90.00 90.00
Fractional coordinates of all 5 atoms:
P 0.000 0.000 0.500
S 0.500 0.000 0.000
H 0.000 0.000 0.000
S 0.000 0.500 0.000
Tl 0.500 0.500 0.500

## Properties
Volume in Å³ per cell: 82
Theoretical density in g cm⁻³: 6.1
Energy above the lowest structure with this stoichiometry in eV/atom: 0.0000
Final energy in eV per cell: -16.24
Total moment in Bohr magnetons per cell: 0.0

18.
A plane-wave DFT calculation with PBE was carried out for a relaxed structure of K2TeRh.

abc: 6.121 6.121 6.121
angles: 137.95 137.91 61.01
Fractional coordinates of all 4 atoms:
K 0.000 0.000 0.000
Te 0.250 0.750 0.500
K 0.500 0.500 0.000
Rh 0.750 0.250 0.500

## Properties
Volume in Å³ per cell: 102
Theoretical density in g cm⁻³: 5.0
Final energy in eV per cell: -12.68
Total moment in Bohr magnetons per cell: 0.0

19.
A plane-wave DFT calculation with PBE was carried out for a relaxed structure of LaBi2AsW.

abc: 6.041 4.968 6.041
angles: 90.00 90.00 90.00
Site moments in Bohr magnetons follow the coordinates.
Fractional coordinates of all 5 atoms:
La 0.000 0.000 0.000  -0.02
Bi 0.500 0.000 0.000  -0.04
W 0.000 0.500 0.000  0.60
As 0.500 0.500 0.500  -0.09
Bi 0.000 0.000 0.500  -0.06

## Properties
Formation energy from the elements in eV/atom: 1.836
Volume in Å³ per cell: 181
Theoretical density in g cm⁻³: 7.5
Final energy in eV per cell: -21.11
Total moment in Bohr magnetons per cell: 0.5

20.
A plane-wave DFT calculation with PBE was carried out for a relaxed structure of K3TiO3.

abc: 6.573 6.917 18.817
angles: 90.00 90.00 94.25
Fractional coordinates of all 28 atoms:
K 0.134 0.586 0.388
K 0.909 0.613 0.168
Ti 0.103 0.162 0.032
O 0.987 0.100 0.940
Ti 0.397 0.338 0.532
O 0.487 0.600 0.560
K 0.301 0.616 0.044
K 0.591 0.887 0.668
O 0.513 0.400 0.440
K 0.801 0.116 0.456
O 0.958 0.340 0.073
O 0.631 0.769 0.975
O 0.013 0.900 0.060
K 0.699 0.384 0.956
K 0.199 0.884 0.544
Ti 0.897 0.838 0.968
O 0.131 0.269 0.525
K 0.409 0.113 0.332
K 0.866 0.414 0.612
K 0.634 0.086 0.112
O 0.042 0.660 0.927
O 0.369 0.231 0.025
O 0.542 0.160 0.573
Ti 0.603 0.662 0.468
O 0.458 0.840 0.427
K 0.091 0.387 0.832
K 0.366 0.914 0.888
O 0.869 0.731 0.475

## Properties
Volume in Å³ per cell: 853
Theoretical density in g cm⁻³: 1.7
Energy above the lowest structure with this stoichiometry in eV/atom: 0.0000
Final energy in eV per cell: -159.81
Total moment in Bohr magnetons per cell: 0.0

21.
A plane-wave DFT calculation with PBE was carried out for a relaxed structure of CaEu2Ag.

abc: 3.863 3.863 9.442
angles: 90.00 90.00 90.00
Site moments in Bohr magnetons follow the coordinates.
Fractional coordinates of all 4 atoms:
Ag 0.500 0.500 0.000  0.01
Eu 0.000 0.000 0.194  6.94
Eu 0.000 0.000 0.806  6.94
Ca 0.500 0.500 0.500  0.05

## Properties
Formation energy from the elements in eV/atom: -0.145
Volume in Å³ per cell: 141
Theoretical density in g cm⁻³: 5.3
Energy above the lowest structure with this stoichiometry in eV/atom: 0.0000
Final energy in eV per cell: -25.98
Total moment in Bohr magnetons per cell: 14.8

22.
A plane-wave DFT calculation with PBE was carried out for a relaxed structure of PmErGaRu.

abc: 4.979 4.979 4.979
angles: 60.00 60.00 60.00
Fractional coordinates of all 4 atoms:
Ru 0.750 0.750 0.750
Er 0.000 0.000 0.000
Ga 0.250 0.250 0.250
Pm 0.500 0.500 0.500

## Properties
Formation energy from the elements in eV/atom: -0.401
Volume in Å³ per cell: 87
Theoretical density in g cm⁻³: 9.2
Energy above the lowest structure with this stoichiometry in eV/atom: 0.0514
Final energy in eV per cell: -23.22
Total moment in Bohr magnetons per cell: 0.0

23.
A plane-wave DFT calculation with PBE was carried out for a relaxed structure of SnSbN3.

abc: 4.085 4.085 4.085
angles: 90.00 90.00 90.00
Fractional coordinates of all 5 atoms:
N 0.500 0.000 0.000
N 0.000 0.000 0.500
N 0.000 0.500 0.000
Sb 0.000 0.000 0.000
Sn 0.500 0.500 0.500

## Properties
Volume in Å³ per cell: 68
Theoretical density in g cm⁻³: 6.9
Final energy in eV per cell: -26.76
Total moment in Bohr magnetons per cell: 0.0